Material: LaScMn2
Method: DFT, PBE
State: relaxed

Properties
DFT formation energy = 0.164 eV per atom
Fermi-level density of states = 4.179 states/eV per cell
final energy = -7.24 eV per atom
symmetry = P4mm, No. 99

```
LaScMn2
1.0
3.1452 0.0000 0.0000
0.0000 3.1452 0.0000
0.0000 0.0000 8.3333
La Sc Mn
1 1 2
Cartesian
0.0000 0.0000 0.0000
1.5726 1.5726 5.2849
0.0000 0.0000 3.5088
1.5726 1.5726 2.3172
```